No. 1
Here is crystalline HfPa2Pt3 at its relaxed geometry from Alexandria via LeMat-Bulk. Energies are from PBE-GGA.

Its total energy is -0.3164 hartree per atom. The calculation puts the magnetization at 0.6 Bohr magnetons per cell. Its space-group type is Cmcm, No. 63. As for the density of states at the Fermi level: 19.337 states/eV/cell. As for the calculated formation energy: -0.77 eV/atom.

abc: 10.3935 10.3935 6.1488
angles: 90.00 90.00 156.55
Fractional coordinates of all 12 atoms:
Hf 0.1732 0.8268 0.7500
Hf 0.8268 0.1732 0.2500
Pa 0.3447 0.6553 0.7500
Pa 0.4671 0.5329 0.2500
Pa 0.5329 0.4671 0.7500
Pa 0.6553 0.3447 0.2500
Pt 0.0717 0.9283 0.0318
Pt 0.0717 0.9283 0.4682
Pt 0.2510 0.7490 0.2500
Pt 0.7490 0.2510 0.7500
Pt 0.9283 0.0717 0.5318
Pt 0.9283 0.0717 0.9682

---

No. 2
Here is crystalline Cd2Hg5Pb2 at its relaxed geometry from Alexandria via LeMat-Bulk. Energies are from PBE-GGA.

Its total energy is -0.0419 hartree per atom. The calculation puts the magnetization at 0.0 Bohr magnetons per cell. Its space-group type is Cmce, No. 64. As for the density of states at the Fermi level: 6.289 states/eV/cell. Its energy above the lowest structure with this stoichiometry is 0.0215 eV/atom. As for the calculated formation energy: 0.06 eV/atom.

abc: 8.8603 8.8603 7.9271
angles: 90.00 90.00 52.51
Fractional coordinates of all 18 atoms:
Cd 0.1340 0.8660 0.8693
Cd 0.3660 0.6340 0.3693
Cd 0.6340 0.3660 0.6307
Cd 0.8660 0.1340 0.1307
Hg 0.0000 0.0000 0.5000
Hg 0.0449 0.6940 0.1755
Hg 0.1940 0.5449 0.6755
Hg 0.3060 0.9551 0.1755
Hg 0.4551 0.8060 0.6755
Hg 0.5000 0.5000 0.0000
Hg 0.5449 0.1940 0.3245
Hg 0.6940 0.0449 0.8245
Hg 0.8060 0.4551 0.3245
Hg 0.9551 0.3060 0.8245
Pb 0.2151 0.2151 0.5000
Pb 0.2849 0.2849 0.0000
Pb 0.7151 0.7151 0.0000
Pb 0.7849 0.7849 0.5000

---

No. 3
Here is crystalline B3NCl at its relaxed geometry from Alexandria via LeMat-Bulk. Energies are from PBE-GGA.

Its total energy is -0.1023 hartree per atom. The calculation puts the magnetization at 0.0 Bohr magnetons per cell. Its space-group type is Pm-3m, No. 221. As for the density of states at the Fermi level: 2.256 states/eV/cell. Its energy above the lowest structure with this stoichiometry is 0.9539 eV/atom. The formation energy from raw total energies is 3.2573 eV/atom.

abc: 3.7609 3.7609 3.7609
angles: 90.00 90.00 90.00
Fractional coordinates of all 5 atoms:
B 0.0000 0.0000 0.5000
B 0.0000 0.5000 0.0000
B 0.5000 0.0000 0.0000
N 0.5000 0.5000 0.5000
Cl 0.0000 0.0000 0.0000